[1]
# Rh2S3

An optimized crystal structure of Rh2S3 (PBE, Alexandria).

Structure (extended XYZ):
```
20
Lattice="8.550 0.000 0.000 0.000 6.047 0.000 0.000 0.000 6.191" Properties=species:S:1:pos:R:3 pbc="T T T"
Rh 0.917 1.503 0.198
Rh 0.917 4.544 3.293
Rh 3.358 1.520 3.293
Rh 3.358 4.527 0.198
Rh 5.192 1.520 5.993
Rh 5.192 4.527 2.897
Rh 7.633 1.503 2.897
Rh 7.633 4.544 5.993
S 0.000 2.742 4.643
S 0.000 3.305 1.548
S 1.293 0.663 2.435
S 1.293 5.384 5.530
S 2.982 2.361 5.530
S 2.982 3.686 2.435
S 4.275 0.282 1.548
S 4.275 5.765 4.643
S 5.567 2.361 3.756
S 5.567 3.686 0.660
S 7.257 0.663 0.660
S 7.257 5.384 3.756
```

Values from the calculation:
Symmetry ... No. 60
E ... -117.71 eV/cell

---

[2]
# Th3Al2Pd6

An optimized crystal structure of Th3Al2Pd6 (PBE, Alexandria).

Structure (extended XYZ):
```
22
Lattice="-4.792 4.792 4.792 4.792 -4.792 4.792 4.792 4.792 -4.792" Properties=species:S:1:pos:R:3 pbc="T T T"
Th 2.723 0.000 0.000
Th 6.862 0.000 0.000
Th 0.000 2.723 0.000
Th 0.000 0.000 2.723
Th 0.000 6.862 0.000
Th 0.000 0.000 6.862
Al 2.396 2.396 -2.396
Al 2.396 -2.396 2.396
Al -2.396 2.396 2.396
Al 2.396 2.396 2.396
Pd 4.792 1.611 -1.611
Pd 4.792 -1.611 1.611
Pd 1.611 4.792 -1.611
Pd 3.181 3.181 0.000
Pd 3.181 0.000 3.181
Pd 1.611 -1.611 4.792
Pd 4.792 1.611 1.611
Pd 0.000 3.181 3.181
Pd -1.611 4.792 1.611
Pd -1.611 1.611 4.792
Pd 1.611 4.792 1.611
Pd 1.611 1.611 4.792
```

Values from the calculation:
Energy of formation ... -0.8244 eV per atom
Symmetry ... No. 229